(1)
# MnCoH2 (PBE-GGA, relaxed)
data_MnCoH2
_chemical_formula_sum 'Mn1 Co1 H2'
_symmetry_space_group_name_H-M 'P 1'
_symmetry_Int_Tables_number 1
_symmetry_space_group_name_Hall 'P 1'
_cell_length_a 2.637
_cell_length_b 2.637
_cell_length_c 3.761
_cell_angle_alpha 90.00
_cell_angle_beta 90.00
_cell_angle_gamma 90.00
loop_
_atom_site_label
_atom_site_type_symbol
_atom_site_fract_x
_atom_site_fract_y
_atom_site_fract_z
_atom_site_occupancy
Mn1 Mn 0.000 0.000 0.000 1
Co1 Co 0.500 0.500 0.500 1
H1 H 0.000 0.000 0.500 1
H2 H 0.500 0.500 0.000 1
# * raw total energy: -5.762 eV/atom
# * magnetization: 3.08 μB per formula unit
# * V: 6.5 Å³/atom
# * ρ: 7.36 Mg/m³

---

(2)
# Tl2CuO (PBE-GGA, relaxed)
data_Tl2CuO
_chemical_formula_sum 'Tl2 Cu1 O1'
_symmetry_space_group_name_H-M 'P 1'
_symmetry_Int_Tables_number 1
_symmetry_space_group_name_Hall 'P 1'
_cell_length_a 4.741
_cell_length_b 4.741
_cell_length_c 4.741
_cell_angle_alpha 60.00
_cell_angle_beta 60.00
_cell_angle_gamma 60.00
loop_
_atom_site_label
_atom_site_type_symbol
_atom_site_fract_x
_atom_site_fract_y
_atom_site_fract_z
_atom_site_occupancy
Tl1 Tl 0.250 0.250 0.250 1
Tl2 Tl 0.750 0.750 0.750 1
Cu1 Cu 0.000 0.000 0.000 1
O1 O 0.500 0.500 0.500 1
# * raw total energy: -3.241 eV/atom
# * magnetization: 0.27 μB per formula unit
# * V: 18.8 Å³/atom
# * ρ: 10.76 Mg/m³

---

(3)
# HfAlIN2 (PBE-GGA, relaxed)
data_HfAlIN2
_chemical_formula_sum 'Hf1 Al1 I1 N2'
_symmetry_space_group_name_H-M 'P 1'
_symmetry_Int_Tables_number 1
_symmetry_space_group_name_Hall 'P 1'
_cell_length_a 4.204
_cell_length_b 4.204
_cell_length_c 5.971
_cell_angle_alpha 90.00
_cell_angle_beta 90.00
_cell_angle_gamma 90.00
loop_
_atom_site_label
_atom_site_type_symbol
_atom_site_fract_x
_atom_site_fract_y
_atom_site_fract_z
_atom_site_occupancy
Hf1 Hf 0.000 0.000 0.000 1
Al1 Al 0.500 0.500 0.500 1
I1 I 0.000 0.000 0.500 1
N1 N 0.000 0.500 0.000 1
N2 N 0.500 0.000 0.000 1
# * raw total energy: -6.010 eV/atom
# * magnetization: 0.60 μB per formula unit
# * V: 21.1 Å³/atom
# * ρ: 5.67 Mg/m³

---

(4)
# Ce2PbBr (PBE-GGA, relaxed)
data_Ce2PbBr
_chemical_formula_sum 'Ce2 Pb1 Br1'
_symmetry_space_group_name_H-M 'P 1'
_symmetry_Int_Tables_number 1
_symmetry_space_group_name_Hall 'P 1'
_cell_length_a 8.103
_cell_length_b 8.103
_cell_length_c 8.103
_cell_angle_alpha 31.54
_cell_angle_beta 31.54
_cell_angle_gamma 31.54
loop_
_atom_site_label
_atom_site_type_symbol
_atom_site_fract_x
_atom_site_fract_y
_atom_site_fract_z
_atom_site_occupancy
Ce1 Ce 0.000 0.000 0.000 1
Ce2 Ce 0.171 0.171 0.171 1
Pb1 Pb 0.584 0.584 0.584 1
Br1 Br 0.755 0.755 0.755 1
# * raw total energy: -4.962 eV/atom
# * magnetization: 2.72 μB per formula unit
# * V: 32.3 Å³/atom
# * ρ: 7.29 Mg/m³

---

(5)
# Cd2AsPb2 (PBE-GGA, relaxed)
data_Cd2AsPb2
_chemical_formula_sum 'Cd4 As2 Pb4'
_symmetry_space_group_name_H-M 'P 1'
_symmetry_Int_Tables_number 1
_symmetry_space_group_name_Hall 'P 1'
_cell_length_a 8.508
_cell_length_b 8.508
_cell_length_c 3.860
_cell_angle_alpha 90.00
_cell_angle_beta 90.00
_cell_angle_gamma 90.00
loop_
_atom_site_label
_atom_site_type_symbol
_atom_site_fract_x
_atom_site_fract_y
_atom_site_fract_z
_atom_site_occupancy
Cd1 Cd 0.122 0.378 0.000 1
Cd2 Cd 0.378 0.878 0.000 1
Cd3 Cd 0.622 0.122 0.000 1
Cd4 Cd 0.878 0.622 0.000 1
As1 As 0.000 0.000 0.500 1
As2 As 0.500 0.500 0.500 1
Pb1 Pb 0.184 0.684 0.500 1
Pb2 Pb 0.316 0.184 0.500 1
Pb3 Pb 0.684 0.816 0.500 1
Pb4 Pb 0.816 0.316 0.500 1
# * raw total energy: -2.529 eV/atom
# * magnetization: 0.00 μB per formula unit
# * V: 27.9 Å³/atom
# * ΔH_f (0 K): 0.25 eV/atom
# * ρ: 8.49 Mg/m³

---

(6)
# Y5Mg (PBE-GGA, relaxed)
data_Y5Mg
_chemical_formula_sum 'Y5 Mg1'
_symmetry_space_group_name_H-M 'P 1'
_symmetry_Int_Tables_number 1
_symmetry_space_group_name_Hall 'P 1'
_cell_length_a 6.197
_cell_length_b 6.197
_cell_length_c 5.608
_cell_angle_alpha 90.00
_cell_angle_beta 90.00
_cell_angle_gamma 120.00
loop_
_atom_site_label
_atom_site_type_symbol
_atom_site_fract_x
_atom_site_fract_y
_atom_site_fract_z
_atom_site_occupancy
Y1 Y 0.000 0.677 0.000 1
Y2 Y 0.323 0.323 0.000 1
Y3 Y 0.333 0.667 0.500 1
Y4 Y 0.667 0.333 0.500 1
Y5 Y 0.677 0.000 0.000 1
Mg1 Mg 0.000 0.000 0.500 1
# * raw total energy: -5.622 eV/atom
# * magnetization: 0.88 μB per formula unit
# * V: 31.1 Å³/atom
# * ΔH_f (0 K): 0.03 eV/atom
# * ρ: 4.17 Mg/m³